[1]
Ta12V5Mo3: relaxed, PBE.

Summary:
Uncorrected energy   -9.609 eV per atom
Symmetry   Ia-3d (230)
Total magnetic moment   9.241 μB per formula unit
Crystal system   cubic

Cell lengths 13.1172, 13.1172, 13.1172 Å; angles 109.47, 109.47, 109.47 degrees
Fractional coordinates of all 80 atoms:
1 Ta 0.0619 0.6291 0.4028
2 Ta 0.0619 0.9327 0.6591
3 Ta 0.0673 0.2263 0.1291
4 Ta 0.0673 0.3409 0.9381
5 Ta 0.0972 0.7263 0.6591
6 Ta 0.0972 0.8709 0.4381
7 Ta 0.1291 0.0673 0.2263
8 Ta 0.1291 0.5619 0.9028
9 Ta 0.1591 0.2263 0.5972
10 Ta 0.1591 0.4327 0.5619
11 Ta 0.2263 0.1291 0.0673
12 Ta 0.2263 0.5972 0.1591
13 Ta 0.2737 0.3409 0.9028
14 Ta 0.2737 0.4327 0.3709
15 Ta 0.3409 0.9028 0.2737
16 Ta 0.3409 0.9381 0.0673
17 Ta 0.3709 0.2737 0.4327
18 Ta 0.3709 0.5972 0.9381
19 Ta 0.4028 0.0619 0.6291
20 Ta 0.4028 0.8409 0.7737
21 Ta 0.4327 0.3709 0.2737
22 Ta 0.4327 0.5619 0.1591
23 Ta 0.4381 0.0972 0.8709
24 Ta 0.4381 0.8409 0.5673
25 Ta 0.5619 0.1591 0.4327
26 Ta 0.5619 0.9028 0.1291
27 Ta 0.5673 0.4381 0.8409
28 Ta 0.5673 0.6291 0.7263
29 Ta 0.5972 0.1591 0.2263
30 Ta 0.5972 0.9381 0.3709
31 Ta 0.6291 0.4028 0.0619
32 Ta 0.6291 0.7263 0.5673
33 Ta 0.6591 0.0619 0.9327
34 Ta 0.6591 0.0972 0.7263
35 Ta 0.7263 0.5673 0.6291
36 Ta 0.7263 0.6591 0.0972
37 Ta 0.7737 0.4028 0.8409
38 Ta 0.7737 0.8709 0.9327
39 Ta 0.8409 0.5673 0.4381
40 Ta 0.8409 0.7737 0.4028
41 Ta 0.8709 0.4381 0.0972
42 Ta 0.8709 0.9327 0.7737
43 Ta 0.9028 0.1291 0.5619
44 Ta 0.9028 0.2737 0.3409
45 Ta 0.9327 0.6591 0.0619
46 Ta 0.9327 0.7737 0.8709
47 Ta 0.9381 0.0673 0.3409
48 Ta 0.9381 0.3709 0.5972
49 V 0.0000 0.0000 0.0000
50 V 0.0000 0.0000 0.5000
51 V 0.0000 0.5000 0.0000
52 V 0.0000 0.5000 0.5000
53 V 0.1250 0.7500 0.8750
54 V 0.1250 0.8750 0.2500
55 V 0.2500 0.1250 0.8750
56 V 0.2500 0.6250 0.3750
57 V 0.3750 0.2500 0.6250
58 V 0.3750 0.6250 0.7500
59 V 0.5000 0.0000 0.0000
60 V 0.5000 0.0000 0.5000
61 V 0.5000 0.5000 0.0000
62 V 0.5000 0.5000 0.5000
63 V 0.6250 0.3750 0.2500
64 V 0.6250 0.7500 0.3750
65 V 0.7500 0.3750 0.6250
66 V 0.7500 0.8750 0.1250
67 V 0.8750 0.1250 0.7500
68 V 0.8750 0.2500 0.1250
69 Mo 0.1250 0.2500 0.3750
70 Mo 0.1250 0.3750 0.7500
71 Mo 0.2500 0.3750 0.1250
72 Mo 0.2500 0.8750 0.6250
73 Mo 0.3750 0.1250 0.2500
74 Mo 0.3750 0.7500 0.1250
75 Mo 0.6250 0.2500 0.8750
76 Mo 0.6250 0.8750 0.7500
77 Mo 0.7500 0.1250 0.3750
78 Mo 0.7500 0.6250 0.8750
79 Mo 0.8750 0.6250 0.2500
80 Mo 0.8750 0.7500 0.6250

[2]
YHg2Cl: relaxed, PBE.

Summary:
ΔE_f (raw)   -0.69 eV/atom
Symmetry   C2/m (12)
Total magnetic moment   0.000 μB per formula unit
Crystal system   monoclinic
Excess energy over the best structure of this formula in the dataset   22 meV/atom

Cell lengths 7.3112, 7.3112, 4.6180 Å; angles 108.22, 108.22, 26.69 degrees
Fractional coordinates of all 4 atoms:
1 Y 0.0000 0.0000 0.0000
2 Hg 0.2976 0.2976 0.7973
3 Hg 0.7024 0.7024 0.2027
4 Cl 0.5000 0.5000 0.5000

[3]
HfUN2: relaxed, PBE.

Summary:
ΔE_f (raw)   -1.37 eV/atom
Symmetry   R3m (160)
Total magnetic moment   2.028 μB per formula unit
Crystal system   trigonal

Cell lengths 6.2278, 6.2278, 6.2278 Å; angles 29.75, 29.75, 29.75 degrees
Fractional coordinates of all 4 atoms:
1 Hf 0.0000 0.0000 0.0000
2 U 0.1737 0.1737 0.1737
3 N 0.4084 0.4084 0.4084
4 N 0.5981 0.5981 0.5981

[4]
HfSc2Fe: relaxed, PBE.

Summary:
Symmetry   R-3m (166)
Total magnetic moment   0.944 μB per formula unit
Crystal system   trigonal
Excess energy over the best structure of this formula in the dataset   397 meV/atom

Cell lengths 10.0752, 10.0752, 10.0752 Å; angles 17.55, 17.55, 17.55 degrees
Fractional coordinates of all 4 atoms:
1 Hf 0.0000 0.0000 0.0000
2 Sc 0.1029 0.1029 0.1029
3 Sc 0.8971 0.8971 0.8971
4 Fe 0.5000 0.5000 0.5000

The highest total magnetic moment belongs to which entry?
Ta12V5Mo3